P) A plane-wave DFT calculation with PBE was carried out for HoInPtC after structural relaxation.

Computed properties:
Space-group type: No. 164
ρ: 11.49 Mg/m³

Geometry as extended XYZ:
```
8
Lattice="4.561 0.000 0.000 -2.280 3.950 0.000 0.000 0.000 7.809" Properties=species:S:1:pos:R:3 pbc="T T T"
Ho 0.000 2.633 1.442
Ho 2.280 1.317 6.367
In 0.000 0.000 0.000
In 0.000 0.000 3.905
Pt 0.000 2.633 4.767
Pt 2.280 1.317 3.043
C 0.000 2.633 6.798
C 2.280 1.317 1.011
```

***

Q) A plane-wave DFT calculation with PBE was carried out for HoInPtC after structural relaxation.

Computed properties:
Space-group type: No. 187
ρ: 9.98 Mg/m³

Geometry as extended XYZ:
```
8
Lattice="4.193 0.000 0.000 -2.097 3.631 0.000 0.000 0.000 10.640" Properties=species:S:1:pos:R:3 pbc="T T T"
Ho 0.000 0.000 0.000
Ho 0.000 2.421 5.320
In 2.097 1.210 2.525
In 2.097 1.210 8.115
Pt 0.000 0.000 3.837
Pt 0.000 0.000 6.803
C 0.000 2.421 0.662
C 0.000 2.421 9.978
```

***

R) A plane-wave DFT calculation with PBE was carried out for HoInPtC after structural relaxation.

Computed properties:
Space-group type: No. 186
ρ: 9.71 Mg/m³

Geometry as extended XYZ:
```
8
Lattice="4.098 0.000 0.000 -2.049 3.549 0.000 0.000 0.000 11.452" Properties=species:S:1:pos:R:3 pbc="T T T"
Ho 0.000 2.366 0.000
Ho 2.049 1.183 5.726
In 0.000 0.000 2.303
In 0.000 0.000 8.029
Pt 0.000 2.366 3.600
Pt 2.049 1.183 9.326
C 0.000 2.366 5.550
C 2.049 1.183 11.276
```

***

Least stable of them? R).

***

P) A plane-wave DFT calculation with PBE was carried out for HoNbSnC after structural relaxation.

Computed properties:
Space-group type: No. 186
ρ: 8.80 Mg/m³

Geometry as extended XYZ:
```
8
Lattice="3.353 0.000 0.000 -1.676 2.904 0.000 0.000 0.000 15.062" Properties=species:S:1:pos:R:3 pbc="T T T"
Ho 0.000 1.936 0.000
Ho 1.676 0.968 7.531
Nb 0.000 1.936 10.097
Nb 1.676 0.968 2.566
Sn 0.000 1.936 4.885
Sn 1.676 0.968 12.416
C 0.000 0.000 1.446
C 0.000 0.000 8.977
```

***

Q) A plane-wave DFT calculation with PBE was carried out for HoNbSnC after structural relaxation.

Computed properties:
Space-group type: No. 164
ρ: 8.56 Mg/m³

Geometry as extended XYZ:
```
8
Lattice="3.438 0.000 0.000 -1.719 2.977 0.000 0.000 0.000 14.734" Properties=species:S:1:pos:R:3 pbc="T T T"
Ho 0.000 1.985 6.013
Ho 1.719 0.992 8.721
Nb 0.000 1.985 1.063
Nb 1.719 0.992 13.671
Sn 0.000 1.985 11.368
Sn 1.719 0.992 3.366
C 0.000 0.000 0.000
C 0.000 0.000 7.367
```

***

Least stable of them? Q).